Record 1
Entry from Alexandria via LeMat-Bulk: a relaxed InFeCu2Se4 crystal (PBEsol).

a = 5.6484 Å, b = 5.6484 Å, c = 11.0510 Å
α = 90.00°, β = 90.00°, γ = 90.00°
Closest atoms and distances in Å follow each position.
Space group I-42m (No. 121)
One atom of each set of equivalent atoms:
In  0.0000  0.0000  0.0000  4 Se 2.62
Fe  0.0000  0.0000  0.5000  4 Se 2.36
Cu  0.0000  0.5000  0.2500  4 Se 2.38
Se  0.2301  0.2301  0.3661  1 Fe 2.36, 2 Cu 2.38, 1 In 2.62

## Properties
* raw formation energy: -2.0 eV/f.u.
* uncorrected energy: -76.0 eV/cell
* DOS(E_F): 4.4 states/eV/f.u.


Record 2
Entry from Alexandria via LeMat-Bulk: a relaxed Y2Cd2In crystal (PBEsol).

a = 7.4665 Å, b = 7.4665 Å, c = 4.4574 Å
α = 90.00°, β = 90.00°, γ = 90.00°
Closest atoms and distances in Å follow each position.
Space group P4/mbm (No. 127)
One atom of each set of equivalent atoms:
Y  0.1697  0.3303  0.0000  6 Cd 3.07-3.18
Cd  0.1309  0.6309  0.5000  1 Cd 2.77, 2 In 2.92, 2 Y 3.07
In  0.0000  0.0000  0.5000  4 Cd 2.92

## Properties
* uncorrected energy: -41.9 eV/cell
* ΔE_f: -0.388 eV/atom
* DOS(E_F): 3.6 states/eV/f.u.


Record 3
Entry from Alexandria via LeMat-Bulk: a relaxed Fe3Co crystal (PBEsol).

a = 2.7846 Å, b = 3.9544 Å, c = 15.8718 Å
α = 90.00°, β = 90.00°, γ = 90.00°
Closest atoms and distances in Å follow each position.
Space group Imma (No. 74)
One atom of each set of equivalent atoms:
Fe  0.0000  0.2500  0.0628  8 Fe 2.42-2.43
Fe  0.0000  0.2500  0.3124  4 Co 2.42, 4 Fe 2.42
Fe  0.0000  0.2500  0.5629  2 Co 2.42, 6 Fe 2.42-2.43
Co  0.0000  0.2500  0.8126  6 Fe 2.42, 2 Co 2.43

## Properties
* uncorrected energy: -138.2 eV/cell
* ΔE_f: 0.019 eV/atom
* DOS(E_F): 3.0 states/eV/f.u.


- DOS(E_F) of number 2 (Y2Cd2In)?
  3.6 states/eV/f.u.


- The lowest DOS(E_F) belongs to which entry?
  Fe3Co